Entry 1:
Here is a PBEsol-optimized structure of HgF2 from Alexandria via LeMat-Bulk. Energies are from meta-GGA SCAN.

Lattice parameters (Å, degrees): 5.1570 5.1570 3.7427 90.00 90.00 90.00
With the nearest neighbours (Å) after each atom.
Atoms (fractional coordinates):
Hg 0.0000 0.0000 0.0000  6 F 2.23-2.35
Hg 0.5000 0.5000 0.5000  6 F 2.23-2.35
F 0.1947 0.1947 0.5000  3 Hg 2.23-2.35
F 0.3053 0.6947 0.0000  3 Hg 2.23-2.35
F 0.6947 0.3053 0.0000  3 Hg 2.23-2.35
F 0.8053 0.8053 0.5000  3 Hg 2.23-2.35

magnetization: 0.0 μB/f.u.
SG: P4_2/mnm
DFT total energy: -26.495 eV/atom
excess energy over the best structure of this formula in the dataset: 0.0556 eV/atom
V: 16.589 Å³ per atom

Entry 2:
Here is a PBEsol-optimized structure of HgIN2F from Alexandria via LeMat-Bulk. Energies are from meta-GGA SCAN.

Lattice parameters (Å, degrees): 4.2163 4.2163 6.2702 90.00 90.00 90.00
With the nearest neighbours (Å) after each atom.
Atoms (fractional coordinates):
Hg 0.0000 0.0000 0.0000  4 N 2.11
I 0.0000 0.0000 0.5000  4 F 2.98, 2 Hg 3.14
N 0.0000 0.5000 0.0000  2 Hg 2.11
N 0.5000 0.0000 0.0000  2 Hg 2.11
F 0.5000 0.5000 0.5000  4 I 2.98

magnetization: 5.5 μB/f.u.
SG: P4/mmm
density of states at the Fermi level: 1.058 states/eV/f.u.
DFT total energy: -23.840 eV/atom
V: 22.293 Å³ per atom

Entry 3:
Here is a PBEsol-optimized structure of TaHgI2F from Alexandria via LeMat-Bulk. Energies are from meta-GGA SCAN.

Lattice parameters (Å, degrees): 5.6181 5.6181 4.1183 90.00 90.00 90.00
With the nearest neighbours (Å) after each atom.
Atoms (fractional coordinates):
Ta 0.0000 0.0000 0.0000  2 F 2.06
Hg 0.5000 0.5000 0.5000  8 I 3.48
I 0.0000 0.5000 0.0000  2 Ta 2.81
I 0.5000 0.0000 0.0000  2 Ta 2.81
F 0.0000 0.0000 0.5000  2 Ta 2.06

magnetization: 2.0 μB/f.u.
SG: P4/mmm
density of states at the Fermi level: 3.163 states/eV/f.u.
DFT total energy: -42.907 eV/atom
V: 25.998 Å³ per atom

Entry 4:
Here is a PBEsol-optimized structure of HgTe2IF from Alexandria via LeMat-Bulk. Energies are from meta-GGA SCAN.

Lattice parameters (Å, degrees): 5.5718 5.5718 5.6835 90.00 90.00 90.00
With the nearest neighbours (Å) after each atom.
Atoms (fractional coordinates):
Hg 0.0000 0.0000 0.0000  4 Te 2.79, 2 I 2.84
Te 0.0000 0.5000 0.0000  2 Hg 2.79
Te 0.5000 0.0000 0.0000  2 Hg 2.79
I 0.0000 0.0000 0.5000  2 Hg 2.84
F 0.5000 0.5000 0.5000  4 I 3.94, 8 Te 3.98

magnetization: 3.1 μB/f.u.
SG: P4/mmm
density of states at the Fermi level: 3.978 states/eV/f.u.
DFT total energy: -36.166 eV/atom
V: 35.289 Å³ per atom